The following is a GGA-PBE calculation of a relaxed structure of TlCdIn2Sn, from Alexandria via LeMat-Bulk.

Properties
The density of states at the Fermi level is 0.374 states/eV per atom. The total magnetization comes out at 0.00 μB per cell. The electronic total energy is -2.5066 eV/atom.

POSCAR file:
```
TlCdIn2Sn
1.0
3.3502 -6.4452 0.0000
3.3502 6.4452 0.0000
0.0000 0.0000 6.8825
Tl Cd In Sn
2 2 4 2
Cartesian
3.3502 3.4345 5.1619
3.3502 -3.4345 1.7206
3.3502 1.8468 1.7206
3.3502 -1.8468 5.1619
1.7292 0.0000 0.0000
1.7292 0.0000 3.4413
4.9712 0.0000 0.0000
4.9712 0.0000 3.4413
3.3502 4.6616 1.7206
3.3502 -4.6616 5.1619
```



The following is a GGA-PBE calculation of a relaxed structure of CaMnI, from Alexandria via LeMat-Bulk.

Properties
The density of states at the Fermi level is 0.816 states/eV per atom. The value obtained for the uncorrected formation energy is -0.02 eV per atom. The total magnetization comes out at 4.03 μB per cell. The electronic total energy is -4.2576 eV/atom.

POSCAR file:
```
CaMnI
1.0
1.9861 1.1467 6.5891
-1.9861 1.1467 6.5891
0.0000 -2.2933 6.5891
Ca Mn I
1 1 1
Cartesian
0.0000 0.0000 0.0000
0.0000 0.0000 15.3990
0.0000 0.0000 4.2409
```



The following is a GGA-PBE calculation of a relaxed structure of KTaRh2, from Alexandria via LeMat-Bulk.

Properties
The density of states at the Fermi level is 0.760 states/eV per atom. For the energy above the most stable polymorph in this dataset, the calculation gives 408 meV/atom. The total magnetization comes out at 0.00 μB per cell. The electronic total energy is -6.4108 eV/atom.

POSCAR file:
```
KTaRh2
1.0
-1.4733 2.4234 5.3945
1.4733 -2.4234 5.3945
1.4733 2.4234 -5.3945
K Ta Rh
1 1 2
Cartesian
0.0000 0.0000 0.0000
0.0000 2.4234 2.3202
1.4733 0.0000 3.1337
0.0000 0.0000 5.6891
```



The following is a GGA-PBE calculation of a relaxed structure of K2TmInI6, from Alexandria via LeMat-Bulk.

Properties
The density of states at the Fermi level is 0.000 states/eV per atom. The value obtained for the uncorrected formation energy is -1.23 eV per atom. The total magnetization comes out at 0.00 μB per cell. The electronic total energy is -3.1000 eV/atom.

POSCAR file:
```
K2TmInI6
1.0
4.3097 2.4882 7.4213
-4.3097 2.4882 7.4213
0.0000 -4.9764 7.4213
K Tm In I
2 1 1 6
Cartesian
0.0000 0.0000 0.0000
0.0000 0.0000 10.8824
0.0000 0.0000 15.4469
0.0000 0.0000 4.4883
-1.8370 -2.8272 9.7028
-2.4115 0.2322 13.6221
-1.5300 3.0045 9.7028
1.0047 -2.2045 13.6221
3.3669 -0.1773 9.7028
1.4068 1.9723 13.6221
```



The following is a GGA-PBE calculation of a relaxed structure of UCuGeS, from Alexandria via LeMat-Bulk.

Properties
The density of states at the Fermi level is 1.712 states/eV per atom. The value obtained for the uncorrected formation energy is -0.56 eV per atom. The total magnetization comes out at 2.87 μB per cell. The electronic total energy is -6.5952 eV/atom.

POSCAR file:
```
UCuGeS
1.0
4.2066 0.0000 0.0000
0.0000 4.2066 0.0000
0.0000 0.0000 8.1718
U Cu Ge S
2 2 2 2
Cartesian
1.0516 1.0516 1.6980
3.1549 3.1549 6.4738
1.0516 3.1549 4.0859
3.1549 1.0516 4.0859
1.0516 1.0516 5.4163
3.1549 3.1549 2.7555
1.0516 3.1549 0.0000
3.1549 1.0516 0.0000
```



The following is a GGA-PBE calculation of a relaxed structure of CsSm2RuO8, from Alexandria via LeMat-Bulk.

Properties
The density of states at the Fermi level is 0.429 states/eV per atom. The value obtained for the uncorrected formation energy is -1.82 eV per atom. The total magnetization comes out at 1.01 μB per cell. The electronic total energy is -6.7576 eV/atom.

POSCAR file:
```
CsSm2RuO8
1.0
4.7395 0.0000 0.0000
-0.4822 4.7540 0.0000
-0.8315 -0.8584 7.9922
Cs Sm Ru O
1 2 1 8
Cartesian
0.0000 0.0000 0.0000
1.2929 1.5074 5.7169
2.1330 2.3882 2.2752
-0.4157 -0.4292 3.9961
-0.1969 3.1262 2.6423
0.8106 0.9188 3.4782
0.3416 3.7593 5.3701
1.5664 2.8724 0.0018
1.8595 1.0232 7.9904
3.0843 0.1364 2.6221
2.6152 2.9768 4.5140
3.6228 0.7694 5.3499
```